## ScTcOs2 (PBEsol)

Data for an optimized crystal structure of ScTcOs2.

abc: 4.0551 4.0551 7.3015
angles: 90.00 90.00 90.00
Space group I4/mmm (No. 139)
Symmetry-distinct sites (fractional):
Sc1 0.0000 0.0000 0.0000 [2 per cell]
Tc1 0.0000 0.0000 0.5000 [2 per cell]
Os1 0.0000 0.5000 0.2500 [4 per cell]

Output
Its density is 14.48 Mg/m³. As for the electronic total energy: -10.459 eV per atom. For the formation energy, the calculation gives 117 meV/atom. The energy relative to the lowest polymorph listed for this composition is 1.2 meV per atom.